{
  "formula": "Rb4ErNp3S8",
  "functional": "GGA-PBE",
  "state": "optimized geometry",
  "magnetic_moment_mub_per_atom": 0.75,
  "e_tot_ev_per_atom": -6.496,
  "vol_a3_per_fu": 448.7,
  "dos_at_fermi_per_ev_atom": 1.605,
  "cell": [[8.2188, 0.0000, 0.0000], [0.0000, 9.0023, 0.5469], [-4.1094, -4.1055, 5.8152]],
  "species": ["S", "S", "S", "S", "S", "S", "S", "S", "Np", "Np", "Np", "Rb", "Rb", "Rb", "Rb", "Er"],
  "fractional_positions": [[0.7716, 0.3088, 0.5432], [0.2705, 0.3115, 0.5410], [0.7344, 0.6912, 0.9627], [0.2284, 0.6912, 0.4568], [0.2656, 0.3088, 0.0373], [0.7716, 0.3088, 0.0373], [0.7295, 0.6885, 0.4590], [0.2284, 0.6912, 0.9627], [0.5000, 0.5000, 0.0000], [0.5000, 0.5000, 0.5000], [0.0000, 0.5000, 0.5000], [0.0000, 0.0000, 0.0000], [0.0000, 0.0000, 0.5000], [0.5000, 0.0000, 0.0000], [0.5000, 0.0000, 0.5000], [0.0000, 0.5000, 0.0000]]
}